No. 1
Here is a relaxed structure of PrTlHgCl6 from Alexandria via LeMat-Bulk. Energies are from GGA-PBE.

Mass density (g cm⁻³): 4.07
Size of the total moment (μB/f.u.): 0.00
Energy relative to the elements, uncorrected (meV/atom): -1423

abc: 7.1597 7.1597 13.9345
angles: 90.00 90.00 120.00
Space group P-31c (No. 163)
One atom of each set of equivalent atoms:
1 Pr 0.3333 0.6667 0.2500 (multiplicity 2)
2 Tl 0.0000 0.0000 0.0000 (multiplicity 2)
3 Hg 0.3333 0.6667 0.7500 (multiplicity 2)
4 Cl 0.0062 0.3733 0.6374 (multiplicity 12)

---

No. 2
Here is a relaxed structure of HgPt3Cl from Alexandria via LeMat-Bulk. Energies are from GGA-PBE.

Mass density (g cm⁻³): 10.39
Size of the total moment (μB/f.u.): 0.00
Energy relative to the elements, uncorrected (meV/atom): 1542
ΔE to the lowest computed polymorph (meV per atom): 608

abc: 5.0823 5.0823 5.0823
angles: 90.00 90.00 90.00
Space group Pm-3m (No. 221)
One atom of each set of equivalent atoms:
1 Hg 0.0000 0.0000 0.0000 (multiplicity 1)
2 Pt 0.0000 0.0000 0.5000 (multiplicity 3)
3 Cl 0.5000 0.5000 0.5000 (multiplicity 1)

---

No. 3
Here is a relaxed structure of HgPt3Cl from Alexandria via LeMat-Bulk. Energies are from GGA-PBE.

Mass density (g cm⁻³): 13.89
Size of the total moment (μB/f.u.): 0.00
Energy relative to the elements, uncorrected (meV/atom): 935
ΔE to the lowest computed polymorph (meV per atom): 0

abc: 4.6136 4.6136 4.6136
angles: 90.00 90.00 90.00
Space group Pm-3m (No. 221)
One atom of each set of equivalent atoms:
1 Hg 0.0000 0.0000 0.0000 (multiplicity 1)
2 Pt 0.0000 0.5000 0.5000 (multiplicity 3)
3 Cl 0.5000 0.5000 0.5000 (multiplicity 1)

---

No. 4
Here is a relaxed structure of HgPtCl3 from Alexandria via LeMat-Bulk. Energies are from GGA-PBE.

Mass density (g cm⁻³): 7.03
Size of the total moment (μB/f.u.): 0.00
Energy relative to the elements, uncorrected (meV/atom): -137
ΔE to the lowest computed polymorph (meV per atom): 0

abc: 4.9131 4.9131 4.9131
angles: 90.00 90.00 90.00
Space group Pm-3m (No. 221)
One atom of each set of equivalent atoms:
1 Hg 0.0000 0.0000 0.0000 (multiplicity 1)
2 Pt 0.5000 0.5000 0.5000 (multiplicity 1)
3 Cl 0.0000 0.5000 0.5000 (multiplicity 3)

---

No. 5
Here is a relaxed structure of HgPtCl6 from Alexandria via LeMat-Bulk. Energies are from GGA-PBE.

Mass density (g cm⁻³): 4.77
Size of the total moment (μB/f.u.): 0.00
Energy relative to the elements, uncorrected (meV/atom): -455
ΔE to the lowest computed polymorph (meV per atom): 0

abc: 10.9066 7.5467 10.2989
angles: 90.00 91.48 90.00
Space group C2/c (No. 15)
One atom of each set of equivalent atoms:
1 Hg 0.0000 0.0087 0.2500 (multiplicity 4)
2 Pt 0.2500 0.2500 0.0000 (multiplicity 4)
3 Cl 0.0771 0.3024 0.1244 (multiplicity 8)
4 Cl 0.1326 0.2844 0.8089 (multiplicity 8)
5 Cl 0.1934 0.0492 0.4969 (multiplicity 8)

---

No. 6
Here is a relaxed structure of HgPtCl4 from Alexandria via LeMat-Bulk. Energies are from GGA-PBE.

Mass density (g cm⁻³): 6.70
Size of the total moment (μB/f.u.): 0.00
Energy relative to the elements, uncorrected (meV/atom): 958

abc: 8.1091 8.1091 8.1091
angles: 90.00 90.00 90.00
Space group F-43m (No. 216)
One atom of each set of equivalent atoms:
1 Hg 0.0000 0.0000 0.0000 (multiplicity 4)
2 Pt 0.2500 0.2500 0.7500 (multiplicity 4)
3 Cl 0.1250 0.1250 0.3750 (multiplicity 16)